A.
A plane-wave DFT calculation with PBE was carried out for a relaxed Si2GeBi2 crystal.

Cell: 6.4876 6.4876 5.8833 Å, 90.00 90.00 90.00°
Atoms (fractional coordinates):
Si  0.1319  0.3681  0.0000
Si  0.3681  0.8681  0.0000
Si  0.6319  0.1319  0.0000
Si  0.8681  0.6319  0.0000
Ge  0.0000  0.0000  0.0000
Ge  0.5000  0.5000  0.0000
Bi  0.1927  0.3073  0.5000
Bi  0.3073  0.8073  0.5000
Bi  0.6927  0.1927  0.5000
Bi  0.8073  0.6927  0.5000

Computed properties:
As for the total magnetic moment: 0.00 μB/cell.

---

B.
A plane-wave DFT calculation with PBE was carried out for a relaxed Si2GeBi2 crystal.

Cell: 9.6991 9.6991 9.6991 Å, 158.95 158.95 29.94°
Atoms (fractional coordinates):
Si  0.2500  0.7500  0.5000
Si  0.7500  0.2500  0.5000
Ge  0.0000  0.0000  0.0000
Bi  0.3937  0.3937  0.0000
Bi  0.6063  0.6063  0.0000

Computed properties:
As for the total magnetic moment: 0.00 μB/cell.

---

So which one is most stable? That would be B, about 7 meV per atom below the next structure.

---

A.
A plane-wave DFT calculation with PBE was carried out for a relaxed Si2GeBi crystal.

Cell: 7.2364 7.2364 7.2364 Å, 129.95 129.95 73.49°
Atoms (fractional coordinates):
Si  0.0750  0.6250  0.9500
Si  0.3750  0.3250  0.4500
Si  0.6750  0.1250  0.0500
Si  0.8750  0.9250  0.5500
Ge  0.0000  0.0000  0.0000
Ge  0.7500  0.2500  0.5000
Bi  0.2500  0.7500  0.5000
Bi  0.5000  0.5000  0.0000

Computed properties:
As for the total magnetic moment: 0.00 μB/cell.

---

B.
A plane-wave DFT calculation with PBE was carried out for a relaxed Si2GeBi crystal.

Cell: 4.9068 4.9068 4.9068 Å, 60.00 60.00 60.00°
Atoms (fractional coordinates):
Si  0.2500  0.2500  0.2500
Si  0.7500  0.7500  0.7500
Ge  0.0000  0.0000  0.0000
Bi  0.5000  0.5000  0.5000

Computed properties:
As for the total magnetic moment: 0.00 μB/cell.

---

So which one is most stable? That would be A, about 254 meV per atom below the next structure.

---

A.
A plane-wave DFT calculation with PBE was carried out for a relaxed Si2Ge2Bi crystal.

Cell: 8.4538 8.4538 8.4538 Å, 155.23 155.23 35.32°
Atoms (fractional coordinates):
Si  0.2500  0.7500  0.5000
Si  0.7500  0.2500  0.5000
Ge  0.1245  0.1245  0.0000
Ge  0.8755  0.8755  0.0000
Bi  0.5000  0.5000  0.0000

Computed properties:
As for the total magnetic moment: 0.00 μB/cell.

---

B.
A plane-wave DFT calculation with PBE was carried out for a relaxed Si2Ge2Bi crystal.

Cell: 5.5558 5.5558 5.5558 Å, 128.33 128.33 76.09°
Atoms (fractional coordinates):
Si  0.1360  0.1360  0.0000
Si  0.8640  0.8640  0.0000
Ge  0.2500  0.7500  0.5000
Ge  0.7500  0.2500  0.5000
Bi  0.5000  0.5000  0.0000

Computed properties:
As for the total magnetic moment: 0.00 μB/cell.

---

So which one is most stable? That would be B, about 19 meV per atom below the next structure.

---

A.
A plane-wave DFT calculation with PBE was carried out for a relaxed SmGeBi crystal.

Cell: 8.7453 8.7453 4.2021 Å, 90.00 90.00 149.94°
Atoms (fractional coordinates):
Sm  0.0945  0.9055  0.7500
Sm  0.9055  0.0945  0.2500
Ge  0.4506  0.5494  0.7500
Ge  0.5494  0.4506  0.2500
Bi  0.2523  0.7477  0.2500
Bi  0.7477  0.2523  0.7500

Computed properties:
As for the total magnetic moment: 0.00 μB/cell.

---

B.
A plane-wave DFT calculation with PBE was carried out for a relaxed SmGeBi crystal.

Cell: 4.9544 4.9544 3.9528 Å, 90.00 90.00 120.00°
Atoms (fractional coordinates):
Sm  0.0000  0.0000  0.0000
Ge  0.6667  0.3333  0.4833
Bi  0.3333  0.6667  0.5049

Computed properties:
As for the total magnetic moment: 0.00 μB/cell.

---

So which one is most stable? That would be A, about 306 meV per atom below the next structure.

---

A.
A plane-wave DFT calculation with PBE was carried out for a relaxed SnGe2Bi2 crystal.

Cell: 5.9319 5.9319 5.9319 Å, 122.97 122.97 84.93°
Atoms (fractional coordinates):
Sn  0.0000  0.0000  0.0000
Ge  0.3551  0.3551  0.0000
Ge  0.6449  0.6449  0.0000
Bi  0.2500  0.7500  0.5000
Bi  0.7500  0.2500  0.5000

Computed properties:
As for the total magnetic moment: 0.00 μB/cell.

---

B.
A plane-wave DFT calculation with PBE was carried out for a relaxed SnGe2Bi2 crystal.

Cell: 9.1507 9.1507 9.1507 Å, 155.10 155.10 35.50°
Atoms (fractional coordinates):
Sn  0.0000  0.0000  0.0000
Ge  0.2500  0.7500  0.5000
Ge  0.7500  0.2500  0.5000
Bi  0.3962  0.3962  0.0000
Bi  0.6038  0.6038  0.0000

Computed properties:
As for the total magnetic moment: 0.00 μB/cell.

---

So which one is most stable? That would be B, about 43 meV per atom below the next structure.

---

A.
A plane-wave DFT calculation with PBE was carried out for a relaxed SnGe2Bi2 crystal.

Cell: 8.0579 8.0579 4.0720 Å, 90.00 90.00 90.00°
Atoms (fractional coordinates):
Sn  0.0000  0.0000  0.0000
Sn  0.5000  0.5000  0.0000
Ge  0.1271  0.3729  0.0000
Ge  0.3729  0.8729  0.0000
Ge  0.6271  0.1271  0.0000
Ge  0.8729  0.6271  0.0000
Bi  0.1682  0.6682  0.5000
Bi  0.3318  0.1682  0.5000
Bi  0.6682  0.8318  0.5000
Bi  0.8318  0.3318  0.5000

Computed properties:
As for the total magnetic moment: 0.00 μB/cell.

---

B.
A plane-wave DFT calculation with PBE was carried out for a relaxed SnGe2Bi2 crystal.

Cell: 8.5800 8.5800 3.7882 Å, 90.00 90.00 90.00°
Atoms (fractional coordinates):
Sn  0.0000  0.0000  0.0000
Sn  0.5000  0.5000  0.0000
Ge  0.1236  0.3764  0.5000
Ge  0.3764  0.8764  0.5000
Ge  0.6236  0.1236  0.5000
Ge  0.8764  0.6236  0.5000
Bi  0.1609  0.6609  0.0000
Bi  0.3391  0.1609  0.0000
Bi  0.6609  0.8391  0.0000
Bi  0.8391  0.3391  0.0000

Computed properties:
As for the total magnetic moment: 0.00 μB/cell.

---

So which one is most stable? That would be A, about 46 meV per atom below the next structure.